Entry 1:
First-principles (GGA-PBE) data for a geometry-optimized LiUSn2Se5 structure, as listed in the Alexandria database.

```
LiUSn2Se5
1.0
2.068 -9.000 0.000
2.068 9.000 0.000
0.000 0.000 13.886
Li U Sn Se
2 2 4 10
Cartesian
2.068 7.888 6.943
2.068 -7.888 0.000
2.068 3.942 1.101
2.068 -3.942 8.044
2.068 1.808 9.517
2.068 1.654 4.407
2.068 -1.654 11.350
2.068 -1.808 2.574
2.068 8.799 4.523
2.068 6.675 0.687
2.068 5.321 6.259
2.068 4.686 9.916
2.068 1.230 1.556
2.068 -1.230 8.499
2.068 -4.686 2.973
2.068 -5.321 13.202
2.068 -6.675 7.630
2.068 -8.799 11.466
```

## Properties
N(E_F) ... 9.33 states/eV per cell
Energy relative to the elements, uncorrected ... -7.145 eV/f.u.

Entry 2:
First-principles (GGA-PBE) data for a geometry-optimized Li3U3SnSe8 structure, as listed in the Alexandria database.

```
Li3U3SnSe8
1.0
4.143 2.392 6.410
-4.143 2.392 6.410
0.000 -4.784 6.410
Li U Sn Se
3 3 1 8
Cartesian
-2.072 -1.196 6.410
-2.072 1.196 12.819
0.000 2.392 6.410
-4.143 0.000 9.614
-2.072 1.196 3.205
2.072 1.196 3.205
0.000 0.000 9.614
-2.136 -1.233 11.210
0.000 -2.467 8.019
-2.136 1.233 8.019
0.000 0.000 4.866
0.000 0.000 14.363
2.136 -1.233 11.210
0.000 2.467 11.210
2.136 1.233 8.019
```

## Properties
N(E_F) ... 12.14 states/eV per cell
Energy relative to the elements, uncorrected ... -15.957 eV/f.u.

Entry 3:
First-principles (GGA-PBE) data for a geometry-optimized Li3USn2Se6 structure, as listed in the Alexandria database.

```
Li3USn2Se6
1.0
3.634 -6.328 0.000
3.634 6.328 0.000
-2.396 0.000 6.354
Li U Sn Se
3 1 2 6
Cartesian
0.000 0.000 0.000
3.634 2.014 0.000
3.634 -2.014 0.000
2.436 0.000 3.177
2.436 4.198 3.177
2.436 -4.198 3.177
1.311 1.963 1.547
0.163 0.000 4.749
1.311 -1.963 1.547
3.561 1.963 4.807
4.708 0.000 1.605
3.561 -1.963 4.807
```

## Properties
N(E_F) ... 0.88 states/eV per cell
Energy relative to the elements, uncorrected ... -11.254 eV/f.u.

Entry 4:
First-principles (GGA-PBE) data for a geometry-optimized LiVSnSe2 structure, as listed in the Alexandria database.

```
LiVSnSe2
1.0
4.781 0.000 0.000
0.000 4.781 0.000
0.000 0.000 4.641
Li V Sn Se
1 1 1 2
Cartesian
0.000 0.000 0.000
2.390 2.390 2.321
0.000 0.000 2.321
0.000 2.390 0.000
2.390 0.000 0.000
```

## Properties
N(E_F) ... 3.41 states/eV per cell
Energy relative to the elements, uncorrected ... 2.842 eV/f.u.

Entry 5:
First-principles (GGA-PBE) data for a geometry-optimized LiY2SnSe4 structure, as listed in the Alexandria database.

```
LiY2SnSe4
1.0
-4.148 4.154 5.838
4.148 -4.154 5.838
4.148 4.154 -5.838
Li Y Sn Se
2 4 2 8
Cartesian
0.000 0.000 0.000
0.000 4.154 0.000
4.148 0.000 0.000
-2.074 2.077 2.919
0.000 0.000 5.838
2.074 2.077 2.919
2.074 2.077 -2.919
2.074 -2.077 2.919
2.080 2.077 0.048
6.217 2.077 0.048
0.000 0.068 2.886
4.148 0.068 2.952
0.000 4.086 2.886
4.148 4.086 2.952
-2.068 2.077 5.789
2.068 2.077 5.789
```

## Properties
N(E_F) ... 6.69 states/eV per cell
Energy relative to the elements, uncorrected ... -10.772 eV/f.u.

Entry 6:
First-principles (GGA-PBE) data for a geometry-optimized LiYSnSe3 structure, as listed in the Alexandria database.

```
LiYSnSe3
1.0
8.771 0.000 0.000
0.000 3.959 0.000
-1.252 0.000 8.999
Li Y Sn Se
2 2 2 6
Cartesian
0.746 0.990 0.773
6.773 2.969 8.225
0.500 0.990 6.414
7.019 2.969 2.585
2.617 2.969 2.976
4.902 0.990 6.023
0.373 0.990 3.372
0.538 2.969 8.570
2.593 2.969 5.741
4.926 0.990 3.258
6.981 0.990 0.428
7.146 2.969 5.627
```

## Properties
Energy relative to the elements, uncorrected ... -7.086 eV/f.u.

Entry 7:
First-principles (GGA-PBE) data for a geometry-optimized LiYSn2Se4 structure, as listed in the Alexandria database.

```
LiYSn2Se4
1.0
7.135 0.000 0.000
0.000 4.178 0.000
-2.345 0.000 6.948
Li Y Sn Se
1 1 2 4
Cartesian
0.000 0.000 0.000
3.568 2.089 0.000
-1.172 2.089 3.474
2.395 0.000 3.474
1.213 2.089 1.619
0.012 0.000 5.340
4.779 0.000 1.608
3.578 2.089 5.328
```

## Properties
Energy relative to the elements, uncorrected ... -8.054 eV/f.u.

Entry 8:
First-principles (GGA-PBE) data for a geometry-optimized Li2YSnSe4 structure, as listed in the Alexandria database.

```
Li2YSnSe4
1.0
6.909 0.000 0.000
0.000 4.024 0.000
-2.429 0.000 6.648
Li Y Sn Se
2 1 1 4
Cartesian
0.000 0.000 0.000
-1.215 2.012 3.324
2.240 0.000 3.324
3.455 2.012 0.000
-0.141 0.000 4.955
1.101 2.012 1.631
3.379 2.012 5.017
4.621 0.000 1.693
```

## Properties
N(E_F) ... 1.49 states/eV per cell
Energy relative to the elements, uncorrected ... -9.512 eV/f.u.

Entry 9:
First-principles (GGA-PBE) data for a geometry-optimized LiZn2SnSe4 structure, as listed in the Alexandria database.

```
LiZn2SnSe4
1.0
-2.921 2.921 6.081
2.921 -2.921 6.081
2.921 2.921 -6.081
Li Zn Sn Se
1 2 1 4
Cartesian
0.000 0.000 0.000
2.921 0.000 3.041
0.000 2.921 3.041
0.000 0.000 6.081
1.355 1.355 -1.631
1.566 -1.566 7.712
1.566 1.566 4.451
-1.566 1.566 7.712
```

## Properties
N(E_F) ... 3.75 states/eV per cell
Energy relative to the elements, uncorrected ... -5.224 eV/f.u.

Entry 10:
First-principles (GGA-PBE) data for a geometry-optimized LiZrSn2Se5 structure, as listed in the Alexandria database.

```
LiZrSn2Se5
1.0
1.945 -8.629 0.000
1.945 8.629 0.000
0.000 0.000 14.064
Li Zr Sn Se
2 2 4 10
Cartesian
1.945 7.437 7.032
1.945 -7.437 0.000
1.945 3.908 1.006
1.945 -3.908 8.038
1.945 1.838 4.379
1.945 1.631 9.718
1.945 -1.631 2.686
1.945 -1.838 11.411
1.945 8.381 4.579
1.945 6.661 0.768
1.945 4.913 6.263
1.945 4.390 10.056
1.945 1.316 1.665
1.945 -1.316 8.697
1.945 -4.390 3.024
1.945 -4.913 13.295
1.945 -6.661 7.800
1.945 -8.381 11.611
```

## Properties
N(E_F) ... 3.18 states/eV per cell
Energy relative to the elements, uncorrected ... -7.195 eV/f.u.

Entry 11:
First-principles (GGA-PBE) data for a geometry-optimized Li2ZrSnSe4 structure, as listed in the Alexandria database.

```
Li2ZrSnSe4
1.0
6.791 0.000 0.000
0.000 3.957 0.000
-2.426 0.000 6.733
Li Zr Sn Se
2 1 1 4
Cartesian
0.000 0.000 0.000
-1.213 1.979 3.367
2.182 0.000 3.367
3.395 1.979 0.000
-0.072 0.000 4.865
1.090 1.979 1.773
3.274 1.979 4.960
4.437 0.000 1.868
```

## Properties
N(E_F) ... 1.15 states/eV per cell
Energy relative to the elements, uncorrected ... -8.486 eV/f.u.

Entry 12:
First-principles (GGA-PBE) data for a geometry-optimized Sr4LiSe structure, as listed in the Alexandria database.

```
Sr4LiSe
1.0
0.000 5.200 5.200
5.200 0.000 5.200
5.200 5.200 0.000
Sr Li Se
4 1 1
Cartesian
1.303 1.303 1.303
3.896 3.896 1.303
3.896 1.303 3.896
1.303 3.896 3.896
7.800 7.800 7.800
5.200 5.200 5.200
```

## Properties
N(E_F) ... 6.61 states/eV per cell
Energy relative to the elements, uncorrected ... 1.329 eV/f.u.

Computed values of uncorrected energy (unit: eV for the cell shown) for the preceding records, in sequence: -91.6 -87.4 -57.2 -19.2 -87.1 -59.8 -38.4 -37.7 -27.6 -86.2 -38.8 -10.8.
Computed values of V (unit: Å³ per atom) for the preceding records, in sequence: 28.7 25.4 24.4 21.2 25.1 26.0 25.9 23.1 25.9 26.2 22.6 46.9.